A PBEsol-optimized structure of LiMgCl2. Source: Alexandria, functional meta-GGA SCAN.

Structure (extended XYZ):
```
4
Lattice="3.9131 0.0000 0.0000 0.0000 3.9661 0.0000 0.0000 0.0000 5.4766" Properties=species:S:1:pos:R:3 pbc="T T T"
Cl 0.0000 0.0000 0.0000
Cl 1.9565 1.9830 2.7383
Li 1.9565 1.9830 0.0000
Mg 0.0000 0.0000 2.7383
```

As for the relative energy among the computed polymorphs: 0.067 eV per atom. As for the uncorrected formation energy: -123.1 kJ/mol of atoms.

***

A PBEsol-optimized structure of LaScBi3. Source: Alexandria, functional meta-GGA SCAN.

Structure (extended XYZ):
```
5
Lattice="5.9266 0.0000 0.0000 0.0000 5.9266 0.0000 0.0000 0.0000 5.9266" Properties=species:S:1:pos:R:3 pbc="T T T"
Sc 2.9633 2.9633 2.9633
Bi 0.0000 2.9633 0.0000
Bi 0.0000 0.0000 2.9633
Bi 2.9633 0.0000 0.0000
La 0.0000 0.0000 0.0000
```

As for the formation energy: 2.8 eV/f.u.

***

A PBEsol-optimized structure of MnBBrN2. Source: Alexandria, functional meta-GGA SCAN.

Structure (extended XYZ):
```
5
Lattice="-1.0161 -2.8775 -1.6891 1.0269 -1.9497 2.7037 -4.3904 0.4014 1.9571" Properties=species:S:1:pos:R:3 pbc="T T T"
B -2.1952 0.2007 0.9785
Mn 0.0000 0.0000 0.0000
Br -2.1898 -2.2129 1.4858
N 0.5135 -0.9748 1.3518
N -0.5080 -1.4388 -0.8446
```

As for the uncorrected formation energy: 107.4 kJ/mol of atoms.